Computed, not measured: an optimized crystal structure of ReWSe6 at the PBE level of DFT.

Results
* size of the total moment: 0.00 μB/f.u.
* uncorrected energy: -5.819 eV/atom
* E_form (uncorrected): -0.24 eV/f.u.
* ρ: 7657 kg/m³

```
data_ReWSe6
_cell_length_a 6.042
_cell_length_b 6.289
_cell_length_c 6.320
_cell_angle_alpha 87.28
_cell_angle_beta 61.55
_cell_angle_gamma 62.65
_symmetry_space_group_name_H-M 'P -1'
_symmetry_Int_Tables_number 2
_symmetry_space_group_name_Hall '-P 1'
loop_
_atom_site_label
_atom_site_fract_x
_atom_site_fract_y
_atom_site_fract_z
_atom_site_occupancy
Re1 0.000 0.000 0.000 1
W1 0.000 0.500 0.500 1
Se1 0.001 0.644 0.855 1
Se2 0.172 0.788 0.286 1
Se3 0.498 0.853 0.653 1
```

Computed, not measured: an optimized crystal structure of Re4WSe at the PBE level of DFT.

Results
* size of the total moment: 0.00 μB/f.u.
* uncorrected energy: -10.217 eV/atom
* E_form (uncorrected): 4.93 eV/f.u.
* ρ: 16810 kg/m³

```
data_Re4WSe
_cell_length_a 7.357
_cell_length_b 7.357
_cell_length_c 7.357
_cell_angle_alpha 90.00
_cell_angle_beta 90.00
_cell_angle_gamma 90.00
_symmetry_space_group_name_H-M 'F -4 3 m'
_symmetry_Int_Tables_number 216
_symmetry_space_group_name_Hall 'F -4 2 3'
loop_
_atom_site_label
_atom_site_fract_x
_atom_site_fract_y
_atom_site_fract_z
_atom_site_occupancy
Re1 0.125 0.125 0.125 1
W1 0.250 0.250 0.750 1
Se1 0.000 0.000 0.500 1
```

Computed, not measured: an optimized crystal structure of ZnRe2WSe at the PBE level of DFT.

Results
* size of the total moment: 2.06 μB/f.u.
* uncorrected energy: -6.543 eV/atom
* E_form (uncorrected): 9.89 eV/f.u.
* ρ: 10430 kg/m³

```
data_ZnRe2WSe
_cell_length_a 4.804
_cell_length_b 4.804
_cell_length_c 4.834
_cell_angle_alpha 90.00
_cell_angle_beta 90.00
_cell_angle_gamma 90.00
_symmetry_space_group_name_H-M 'P 4/m m m'
_symmetry_Int_Tables_number 123
_symmetry_space_group_name_Hall '-P 4 2'
loop_
_atom_site_label
_atom_site_fract_x
_atom_site_fract_y
_atom_site_fract_z
_atom_site_occupancy
Zn1 0.000 0.000 0.000 1
Re1 0.000 0.500 0.500 1
W1 0.000 0.000 0.500 1
Se1 0.500 0.500 0.000 1
```